Entry 1
TbSmAl4 PBE-GGA relaxed; space-group type = F-43m (216); total magnetic moment = 0.00 μB per cell; density of states at the Fermi level = 4.9 states/eV per cell
1.0
5.610 0.000 0.000
2.805 4.858 0.000
2.805 1.619 4.580
Al Sm Tb
4 1 1
Direct
0.625 0.625 0.125 Al
0.625 0.125 0.625 Al
0.625 0.625 0.625 Al
0.125 0.625 0.625 Al
0.250 0.250 0.250 Sm
0.000 0.000 0.000 Tb

Entry 2
TbSmAl4 PBE-GGA relaxed; space-group type = P-3m1 (164); total magnetic moment = 0.00 μB per cell; density of states at the Fermi level = 5.7 states/eV per cell
1.0
-1.839 -4.186 -3.228
5.466 0.494 1.098
-1.018 -5.306 7.460
Al Tb Sm
8 2 2
Direct
0.342 0.171 0.247 Al
0.000 0.000 0.500 Al
0.829 0.171 0.247 Al
0.171 0.829 0.753 Al
0.829 0.658 0.247 Al
0.658 0.829 0.753 Al
0.000 0.000 0.000 Al
0.171 0.342 0.753 Al
0.333 0.667 0.068 Tb
0.667 0.333 0.932 Tb
0.333 0.667 0.431 Sm
0.667 0.333 0.569 Sm

Least stable structure: entry 2

Entry 1
TbSm5Al2 PBE-GGA relaxed; space-group type = P6_3/mmc (194); total magnetic moment = 0.00 μB per cell; density of states at the Fermi level = 25.7 states/eV per cell
1.0
5.385 0.000 0.000
-2.692 4.663 0.000
0.000 0.000 19.915
Sm Al Tb
10 4 2
Direct
0.667 0.333 0.444 Sm
0.333 0.667 0.750 Sm
0.333 0.667 0.944 Sm
0.333 0.667 0.556 Sm
0.000 0.000 0.844 Sm
0.000 0.000 0.656 Sm
0.667 0.333 0.056 Sm
0.667 0.333 0.250 Sm
0.000 0.000 0.156 Sm
0.000 0.000 0.344 Sm
0.333 0.667 0.100 Al
0.667 0.333 0.600 Al
0.333 0.667 0.400 Al
0.667 0.333 0.900 Al
0.667 0.333 0.750 Tb
0.333 0.667 0.250 Tb

Entry 2
TbSm5Al2 PBE-GGA relaxed; space-group type = Immm (71); total magnetic moment = 0.00 μB per cell; density of states at the Fermi level = 10.9 states/eV per cell
1.0
3.638 0.000 0.000
1.819 8.067 -0.635
1.819 1.821 7.884
Al Sm Tb
2 5 1
Direct
0.275 0.225 0.225 Al
0.725 0.775 0.775 Al
0.359 0.422 0.860 Sm
0.641 0.140 0.578 Sm
0.000 0.500 0.500 Sm
0.359 0.860 0.422 Sm
0.641 0.578 0.140 Sm
0.000 0.000 0.000 Tb

Least stable structure: entry 1

Entry 1
Tb2Sm3Al2 PBE-GGA relaxed; space-group type = C2/m (12); total magnetic moment = 0.00 μB per cell; density of states at the Fermi level = 7.9 states/eV per cell
1.0
-2.988 1.121 -3.366
-1.129 -3.247 -0.078
-9.901 3.293 6.696
Sm Tb Al
3 2 2
Direct
0.867 0.001 0.266 Sm
0.000 0.000 0.000 Sm
0.133 0.999 0.734 Sm
0.292 0.501 0.416 Tb
0.708 0.499 0.584 Tb
0.433 0.500 0.132 Al
0.567 0.500 0.868 Al

Entry 2
Tb2Sm3Al2 PBE-GGA relaxed; space-group type = C2/m (12); total magnetic moment = 0.00 μB per cell; density of states at the Fermi level = 4.9 states/eV per cell
1.0
5.340 -0.001 0.001
-2.671 4.610 -0.290
0.002 -2.586 8.128
Sm Al Tb
3 2 2
Direct
0.654 0.308 0.462 Sm
0.346 0.692 0.538 Sm
0.500 0.000 0.000 Sm
0.782 0.565 0.847 Al
0.218 0.435 0.153 Al
0.917 0.834 0.251 Tb
0.083 0.166 0.749 Tb

Least stable structure: entry 1

Entry 1
Tb6SmAl PBE-GGA relaxed; space-group type = P-1 (2); total magnetic moment = 0.00 μB per cell; density of states at the Fermi level = 10.6 states/eV per cell
1.0
-1.985 9.001 -0.017
-5.725 3.474 5.343
0.289 4.792 4.072
Tb Sm Al
6 1 1
Direct
0.558 0.238 0.167 Tb
0.037 0.442 0.759 Tb
0.963 0.558 0.241 Tb
0.238 0.036 0.285 Tb
0.762 0.964 0.715 Tb
0.442 0.762 0.833 Tb
0.500 0.500 0.500 Sm
0.000 0.000 0.000 Al

Entry 2
Tb6SmAl PBE-GGA relaxed; space-group type = P4/mmm (123); total magnetic moment = 0.00 μB per cell; density of states at the Fermi level = 9.1 states/eV per cell
1.0
-0.148 3.182 3.691
1.866 -3.375 2.984
9.258 3.091 -2.293
Tb Sm Al
6 1 1
Direct
0.500 0.500 0.000 Tb
0.000 0.500 0.763 Tb
0.500 0.000 0.763 Tb
0.500 0.000 0.237 Tb
0.500 0.500 0.500 Tb
0.000 0.500 0.237 Tb
0.000 0.000 0.500 Sm
0.000 0.000 0.000 Al

Least stable structure: entry 1

Entry 1
Tb2Sm2Al PBE-GGA relaxed; space-group type = P6_3/mmc (194); total magnetic moment = 0.00 μB per cell; density of states at the Fermi level = 15.7 states/eV per cell
1.0
5.381 0.000 0.000
-2.690 4.660 0.000
0.000 0.000 12.003
Sm Tb Al
4 4 2
Direct
0.333 0.667 0.593 Sm
0.667 0.333 0.093 Sm
0.667 0.333 0.407 Sm
0.333 0.667 0.907 Sm
0.667 0.333 0.750 Tb
0.000 0.000 0.500 Tb
0.333 0.667 0.250 Tb
0.000 0.000 0.000 Tb
0.000 0.000 0.750 Al
0.000 0.000 0.250 Al

Entry 2
Tb2Sm2Al PBE-GGA relaxed; space-group type = R-3m (166); total magnetic moment = 0.00 μB per cell; density of states at the Fermi level = 6.5 states/eV per cell
1.0
4.956 0.000 0.000
2.478 4.292 0.000
2.478 1.431 8.510
Al Sm Tb
1 2 2
Direct
0.000 0.000 0.000 Al
0.434 0.434 0.699 Sm
0.566 0.566 0.301 Sm
0.701 0.701 0.897 Tb
0.299 0.299 0.103 Tb

Least stable structure: entry 2

Entry 1
TbSmAlZn PBE-GGA relaxed; space-group type = F-43m (216); total magnetic moment = 0.00 μB per cell; density of states at the Fermi level = 3.4 states/eV per cell
1.0
-1.154 4.112 2.878
-4.315 0.047 2.811
0.268 -0.293 5.135
Zn Sm Tb Al
1 1 1 1
Direct
0.000 0.000 0.000 Zn
0.750 0.750 0.750 Sm
0.250 0.250 0.250 Tb
0.500 0.500 0.500 Al

Entry 2
TbSmAlZn PBE-GGA relaxed; space-group type = P4mm (99); total magnetic moment = 0.00 μB per cell; density of states at the Fermi level = 3.3 states/eV per cell
1.0
-2.413 0.025 -2.683
-1.484 -3.018 1.307
-4.571 4.044 4.148
Sm Tb Al Zn
1 1 1 1
Direct
0.000 0.000 0.854 Sm
0.000 0.000 0.363 Tb
0.500 0.500 0.114 Al
0.500 0.500 0.598 Zn

Least stable structure: entry 1

Entry 1
SmAl2Tc PBE-GGA relaxed; space-group type = P4/mmm (123); total magnetic moment = 0.00 μB per cell; density of states at the Fermi level = 3.7 states/eV per cell
1.0
-0.889 2.785 -1.336
-3.004 -1.104 -0.302
-1.633 2.639 6.588
Al Tc Sm
2 1 1
Direct
0.000 0.000 0.183 Al
0.000 0.000 0.817 Al
0.500 0.500 0.000 Tc
0.500 0.500 0.500 Sm

Entry 2
SmAl2Tc PBE-GGA relaxed; space-group type = R-3m (166); total magnetic moment = 0.00 μB per cell; density of states at the Fermi level = 3.2 states/eV per cell
1.0
-1.900 -2.440 0.154
-0.988 -1.360 -2.600
6.414 -7.001 -0.621
Sm Al Tc
1 2 1
Direct
0.500 0.500 0.500 Sm
0.734 0.734 0.797 Al
0.266 0.266 0.203 Al
0.000 0.000 0.000 Tc

Least stable structure: entry 2

Entry 1
SmAlTe3 PBE-GGA relaxed; space-group type = Pna2_1 (33); total magnetic moment = 0.00 μB per cell
1.0
-4.023 1.776 -6.102
1.313 -7.149 -2.947
-9.267 -3.769 5.013
Te Al Sm
12 4 4
Direct
0.188 0.558 0.214 Te
0.812 0.442 0.714 Te
0.351 0.298 0.883 Te
0.688 0.942 0.714 Te
0.675 0.678 0.029 Te
0.325 0.322 0.529 Te
0.175 0.822 0.529 Te
0.649 0.702 0.383 Te
0.149 0.798 0.883 Te
0.825 0.178 0.029 Te
0.312 0.058 0.214 Te
0.851 0.202 0.383 Te
0.356 0.787 0.070 Al
0.856 0.713 0.570 Al
0.644 0.213 0.570 Al
0.144 0.287 0.070 Al
0.085 0.113 0.715 Sm
0.585 0.387 0.215 Sm
0.415 0.613 0.715 Sm
0.915 0.887 0.215 Sm

Entry 2
SmAlTe3 PBE-GGA relaxed; space-group type = P2_1/c (14); total magnetic moment = 0.00 μB per cell
1.0
7.614 0.000 -0.291
0.000 7.936 0.000
-0.876 0.000 10.757
Sm Te Al
4 12 4
Direct
0.935 0.632 0.281 Sm
0.565 0.132 0.219 Sm
0.435 0.868 0.781 Sm
0.065 0.368 0.719 Sm
0.154 0.953 0.194 Te
0.347 0.170 0.590 Te
0.153 0.670 0.910 Te
0.847 0.330 0.090 Te
0.852 0.300 0.433 Te
0.653 0.830 0.410 Te
0.346 0.453 0.306 Te
0.846 0.047 0.806 Te
0.148 0.700 0.567 Te
0.648 0.800 0.067 Te
0.352 0.200 0.933 Te
0.654 0.547 0.694 Te
0.651 0.320 0.875 Al
0.849 0.820 0.625 Al
0.349 0.680 0.125 Al
0.151 0.180 0.375 Al

Least stable structure: entry 2

Entry 1
Sm3ThAl8 PBE-GGA relaxed; space-group type = R3m (160); total magnetic moment = 0.00 μB per cell; density of states at the Fermi level = 9.0 states/eV per cell
1.0
-3.822 3.924 -1.428
-4.710 -1.507 -2.755
-7.147 -0.457 6.651
Th Sm Al
1 3 8
Direct
0.875 0.875 0.375 Th
0.001 0.001 0.998 Sm
0.375 0.375 0.876 Sm
0.500 0.500 0.500 Sm
0.688 0.688 0.936 Al
0.187 0.187 0.438 Al
0.437 0.437 0.187 Al
0.938 0.437 0.187 Al
0.437 0.938 0.187 Al
0.438 0.937 0.688 Al
0.937 0.438 0.688 Al
0.937 0.937 0.688 Al

Entry 2
Sm3ThAl8 PBE-GGA relaxed; space-group type = P3m1 (156); total magnetic moment = 0.00 μB per cell; density of states at the Fermi level = 8.6 states/eV per cell
1.0
5.628 0.000 0.000
-2.814 4.874 0.000
0.000 0.000 9.341
Sm Al Th
3 8 1
Direct
0.667 0.333 0.067 Sm
0.667 0.333 0.431 Sm
0.000 0.000 0.932 Sm
0.504 0.007 0.751 Al
0.333 0.667 0.003 Al
0.504 0.496 0.751 Al
0.163 0.837 0.250 Al
0.333 0.667 0.498 Al
0.675 0.837 0.250 Al
0.993 0.496 0.751 Al
0.163 0.325 0.250 Al
0.000 0.000 0.568 Th

Least stable structure: entry 2

Entry 1
Sm6AlTl3 PBE-GGA relaxed; space-group type = P2_1/m (11); total magnetic moment = 0.00 μB per cell; density of states at the Fermi level = 19.1 states/eV per cell
1.0
-2.706 -4.401 1.394
1.810 -3.834 -8.589
8.902 -3.249 7.020
Sm Tl Al
12 6 2
Direct
0.250 0.232 0.501 Sm
0.750 0.768 0.499 Sm
0.750 0.335 0.325 Sm
0.750 0.899 0.123 Sm
0.250 0.855 0.324 Sm
0.250 0.127 0.161 Sm
0.750 0.532 0.906 Sm
0.250 0.468 0.094 Sm
0.750 0.145 0.676 Sm
0.750 0.873 0.839 Sm
0.250 0.101 0.877 Sm
0.250 0.665 0.675 Sm
0.750 0.227 0.029 Tl
0.750 0.473 0.613 Tl
0.250 0.773 0.971 Tl
0.250 0.380 0.783 Tl
0.750 0.620 0.217 Tl
0.250 0.527 0.387 Tl
0.250 0.953 0.608 Al
0.750 0.047 0.392 Al

Entry 2
Sm6AlTl3 PBE-GGA relaxed; space-group type = P2_1/m (11); total magnetic moment = 0.00 μB per cell; density of states at the Fermi level = 20.5 states/eV per cell
1.0
3.727 0.000 0.000
0.000 11.809 -0.056
0.000 -4.008 13.925
Sm Tl Al
12 6 2
Direct
0.250 0.880 0.539 Sm
0.750 0.508 0.680 Sm
0.250 0.605 0.915 Sm
0.750 0.120 0.461 Sm
0.250 0.175 0.242 Sm
0.250 0.492 0.320 Sm
0.250 0.256 0.668 Sm
0.250 0.133 0.865 Sm
0.750 0.395 0.085 Sm
0.750 0.867 0.135 Sm
0.750 0.744 0.332 Sm
0.750 0.825 0.758 Sm
0.250 0.626 0.141 Tl
0.250 0.361 0.483 Tl
0.750 0.111 0.049 Tl
0.750 0.639 0.517 Tl
0.250 0.889 0.951 Tl
0.750 0.374 0.859 Tl
0.250 0.954 0.319 Al
0.750 0.046 0.681 Al

Least stable structure: entry 2

Entry 1
Sm8Al2Tl PBE-GGA relaxed; space-group type = C2/m (12); total magnetic moment = 0.00 μB per cell; density of states at the Fermi level = 11.1 states/eV per cell
1.0
5.035 0.000 0.000
0.000 8.217 0.084
-2.517 -3.374 7.798
Sm Al Tl
8 2 1
Direct
0.850 0.783 0.700 Sm
0.056 0.725 0.113 Sm
0.319 0.052 0.639 Sm
0.944 0.275 0.887 Sm
0.681 0.948 0.361 Sm
0.395 0.541 0.790 Sm
0.605 0.459 0.210 Sm
0.150 0.217 0.300 Sm
0.777 0.355 0.555 Al
0.223 0.645 0.445 Al
0.500 0.000 0.000 Tl

Entry 2
Sm8Al2Tl PBE-GGA relaxed; space-group type = Immm (71); total magnetic moment = 0.00 μB per cell; density of states at the Fermi level = 13.0 states/eV per cell
1.0
4.870 0.000 -1.482
-1.273 7.364 -4.183
0.077 0.142 8.994
Sm Tl Al
8 1 2
Direct
0.339 0.121 0.677 Sm
0.661 0.444 0.323 Sm
0.856 0.856 0.711 Sm
0.339 0.556 0.677 Sm
0.144 0.144 0.289 Sm
0.661 0.879 0.323 Sm
0.000 0.314 0.000 Sm
0.000 0.686 0.000 Sm
0.500 0.000 0.000 Tl
0.807 0.307 0.614 Al
0.193 0.693 0.386 Al

Least stable structure: entry 2